{"formula": "SrYGa", "functional": "PBE", "state": "optimized geometry", "e_tot_ev_per_atom": -3.913, "lattice": [[3.590, 0.000, 0.000], [0.002, 6.910, 0.000], [1.794, 3.439, 7.612]], "species": ["Sr", "Sr", "Y", "Y", "Ga", "Ga"], "fractional_positions": [[0.164, 0.164, 0.171], [0.836, 0.836, 0.829], [0.099, 0.599, 0.300], [0.901, 0.401, 0.700], [0.500, 0.202, 0.500], [0.500, 0.798, 0.500]]}